Record 1
{"formula": "Er8Ga3Te3P", "functional": "PBE", "state": "optimized geometry", "raw_formation_energy_ev_per_fu": -13.1, "crystal_system": "monoclinic", "space_group": "C2/m", "cell": [[-1.532, -6.416, -4.918], [7.689, 1.554, 2.499], [-5.637, -3.044, 5.717]], "species": ["Er", "Er", "Er", "Er", "Er", "Er", "Er", "Er", "Ga", "Ga", "Ga", "Te", "Te", "Te", "P"], "fractional_positions": [[0.257, 0.513, 0.269], [0.743, 0.487, 0.731], [0.764, 0.529, 0.282], [0.236, 0.471, 0.718], [0.765, 0.018, 0.282], [0.235, 0.982, 0.718], [0.253, 0.018, 0.282], [0.747, 0.982, 0.718], [0.500, 0.000, 0.500], [0.500, 0.500, 0.500], [0.000, 0.500, 0.500], [0.000, 0.000, 0.000], [0.000, 0.500, 0.000], [0.500, 0.500, 0.000], [0.000, 0.000, 0.500]]}

Record 2
{"formula": "Er6GaTe3P2", "functional": "PBE", "state": "optimized geometry", "raw_formation_energy_ev_per_fu": -15.8, "crystal_system": "monoclinic", "space_group": "C2/m", "cell": [[-0.122, -3.457, 2.175], [6.072, -3.353, -4.988], [4.581, 5.881, 5.767]], "species": ["Er", "Er", "Er", "Er", "Er", "Er", "Ga", "Te", "Te", "Te", "P", "P"], "fractional_positions": [[0.340, 0.893, 0.679], [0.676, 0.562, 0.352], [0.660, 0.107, 0.321], [0.008, 0.237, 0.016], [0.992, 0.763, 0.984], [0.324, 0.438, 0.648], [0.500, 0.000, 0.000], [0.500, 0.500, 0.000], [0.832, 0.169, 0.665], [0.168, 0.831, 0.335], [0.832, 0.663, 0.664], [0.168, 0.337, 0.336]]}

Record 3
{"formula": "Er4GaTe2P", "functional": "PBE", "state": "optimized geometry", "raw_formation_energy_ev_per_fu": -9.7, "crystal_system": "monoclinic", "space_group": "P2/m", "cell": [[4.090, 0.000, 0.000], [0.000, 7.257, 0.169], [0.000, -2.497, 6.987]], "species": ["Er", "Er", "Er", "Er", "Ga", "Te", "Te", "P"], "fractional_positions": [[0.500, 0.236, 0.213], [0.500, 0.764, 0.787], [0.000, 0.256, 0.777], [0.000, 0.744, 0.223], [0.500, 0.500, 0.000], [0.500, 0.000, 0.500], [0.000, 0.500, 0.500], [0.000, 0.000, 0.000]]}

Record 4
{"formula": "Er8GaTe4P3", "functional": "PBE", "state": "optimized geometry", "raw_formation_energy_ev_per_fu": -21.9, "crystal_system": "trigonal", "space_group": "R-3m", "cell": [[8.239, 0.000, 0.000], [0.000, 8.448, 0.142], [-4.120, -4.116, 5.829]], "species": ["Er", "Er", "Er", "Er", "Er", "Er", "Er", "Er", "Ga", "Te", "Te", "Te", "Te", "P", "P", "P"], "fractional_positions": [[0.239, 0.715, 0.976], [0.239, 0.715, 0.478], [0.264, 0.291, 0.527], [0.737, 0.715, 0.976], [0.263, 0.285, 0.024], [0.736, 0.709, 0.473], [0.761, 0.285, 0.522], [0.761, 0.285, 0.024], [0.000, 0.500, 0.000], [0.500, 0.000, 0.000], [0.500, 0.000, 0.500], [0.000, 0.000, 0.000], [0.000, 0.000, 0.500], [0.500, 0.500, 0.000], [0.500, 0.500, 0.500], [0.000, 0.500, 0.500]]}

Record 5
{"formula": "ErPa2Ga6", "functional": "PBE", "state": "optimized geometry", "crystal_system": "hexagonal", "delta_e_f_ev_per_atom": -0.40, "space_group": "P6/mmm", "cell": [[-2.667, 1.549, -1.495], [4.571, 2.115, -5.963], [-3.821, -6.803, -0.232]], "species": ["Er", "Pa", "Pa", "Ga", "Ga", "Ga", "Ga", "Ga", "Ga"], "fractional_positions": [[0.000, 0.000, 0.000], [0.000, 0.333, 0.667], [0.000, 0.667, 0.333], [0.500, 0.331, 0.331], [0.500, 0.669, 0.669], [0.500, 0.000, 0.669], [0.500, 0.669, 0.000], [0.500, 0.331, 0.000], [0.500, 0.000, 0.331]]}

Record 6
{"formula": "ErPa2Ga6", "functional": "PBE", "state": "optimized geometry", "crystal_system": "orthorhombic", "delta_e_f_ev_per_atom": -0.26, "space_group": "Immm", "cell": [[-3.101, 1.020, 3.008], [1.969, -3.589, 6.523], [3.682, 3.044, 6.040]], "species": ["Er", "Pa", "Pa", "Ga", "Ga", "Ga", "Ga", "Ga", "Ga"], "fractional_positions": [[0.000, 0.000, 0.000], [0.896, 0.604, 0.604], [0.104, 0.396, 0.396], [0.693, 0.008, 0.606], [0.307, 0.992, 0.394], [0.307, 0.394, 0.992], [0.500, 0.715, 0.285], [0.500, 0.285, 0.715], [0.693, 0.606, 0.008]]}

Record 7
{"formula": "ErPaGa2", "functional": "PBE", "state": "optimized geometry", "crystal_system": "cubic", "delta_e_f_ev_per_atom": -0.31, "space_group": "Fm-3m", "cell": [[5.027, 0.000, 0.000], [2.514, 4.354, 0.000], [2.514, 1.451, 4.105]], "species": ["Pa", "Ga", "Ga", "Er"], "fractional_positions": [[0.000, 0.000, 0.000], [0.250, 0.250, 0.250], [0.750, 0.750, 0.750], [0.500, 0.500, 0.500]]}

Record 8
{"formula": "ErPaGa2", "functional": "PBE", "state": "optimized geometry", "crystal_system": "tetragonal", "delta_e_f_ev_per_atom": -0.39, "space_group": "P4/mmm", "cell": [[3.284, 0.000, 0.000], [0.000, 3.284, 0.000], [0.000, 0.000, 8.086]], "species": ["Pa", "Ga", "Ga", "Er"], "fractional_positions": [[0.500, 0.500, 0.500], [0.000, 0.000, 0.754], [0.000, 0.000, 0.246], [0.500, 0.500, 0.000]]}

Record 9
{"formula": "ErPa2Ga", "functional": "PBE", "state": "optimized geometry", "crystal_system": "trigonal", "delta_e_f_ev_per_atom": 0.06, "space_group": "R-3m", "cell": [[-1.699, 2.719, 0.021], [-2.871, 0.086, 1.426], [3.291, 3.871, 9.999]], "species": ["Pa", "Pa", "Ga", "Er"], "fractional_positions": [[0.243, 0.243, 0.270], [0.757, 0.757, 0.730], [0.500, 0.500, 0.500], [0.000, 0.000, 0.000]]}

Record 10
{"formula": "ErPaGa4", "functional": "PBE", "state": "optimized geometry", "crystal_system": "cubic", "delta_e_f_ev_per_atom": -0.35, "space_group": "F-43m", "cell": [[-4.712, -1.538, -2.402], [-0.037, -4.218, -3.541], [-2.385, -4.759, 1.412]], "species": ["Pa", "Ga", "Ga", "Ga", "Ga", "Er"], "fractional_positions": [[0.250, 0.250, 0.250], [0.625, 0.625, 0.126], [0.625, 0.126, 0.625], [0.625, 0.625, 0.625], [0.126, 0.625, 0.625], [0.000, 0.000, 0.000]]}

Record 11
{"formula": "ErPaGa4", "functional": "PBE", "state": "optimized geometry", "crystal_system": "tetragonal", "delta_e_f_ev_per_atom": -0.46, "space_group": "I-4m2", "cell": [[-3.950, -0.457, 1.129], [0.326, -4.088, -0.516], [3.878, 1.561, 6.633]], "species": ["Er", "Pa", "Ga", "Ga", "Ga", "Ga"], "fractional_positions": [[0.000, 0.000, 0.000], [0.250, 0.750, 0.500], [0.667, 0.167, 0.335], [0.583, 0.583, 0.166], [0.833, 0.333, 0.665], [0.417, 0.417, 0.834]]}

Record 12
{"formula": "ErPa3Ga12", "functional": "PBE", "state": "optimized geometry", "crystal_system": "tetragonal", "delta_e_f_ev_per_atom": -0.42, "space_group": "P4/mmm", "cell": [[4.291, 0.000, 0.000], [0.000, 4.291, 0.000], [0.000, 0.000, 17.109]], "species": ["Er", "Pa", "Pa", "Pa", "Ga", "Ga", "Ga", "Ga", "Ga", "Ga", "Ga", "Ga", "Ga", "Ga", "Ga", "Ga"], "fractional_positions": [[0.000, 0.000, 0.000], [0.000, 0.000, 0.248], [0.000, 0.000, 0.500], [0.000, 0.000, 0.752], [0.500, 0.500, 0.000], [0.500, 0.500, 0.251], [0.500, 0.500, 0.500], [0.500, 0.500, 0.749], [0.500, 0.000, 0.123], [0.500, 0.000, 0.374], [0.500, 0.000, 0.626], [0.500, 0.000, 0.877], [0.000, 0.500, 0.123], [0.000, 0.500, 0.374], [0.000, 0.500, 0.626], [0.000, 0.500, 0.877]]}

Copy entry 8 word for word.
{"formula": "ErPaGa2", "functional": "PBE", "state": "optimized geometry", "crystal_system": "tetragonal", "delta_e_f_ev_per_atom": -0.39, "space_group": "P4/mmm", "cell": [[3.284, 0.000, 0.000], [0.000, 3.284, 0.000], [0.000, 0.000, 8.086]], "species": ["Pa", "Ga", "Ga", "Er"], "fractional_positions": [[0.500, 0.500, 0.500], [0.000, 0.000, 0.754], [0.000, 0.000, 0.246], [0.500, 0.500, 0.000]]}

Copy entry 6 word for word.
{"formula": "ErPa2Ga6", "functional": "PBE", "state": "optimized geometry", "crystal_system": "orthorhombic", "delta_e_f_ev_per_atom": -0.26, "space_group": "Immm", "cell": [[-3.101, 1.020, 3.008], [1.969, -3.589, 6.523], [3.682, 3.044, 6.040]], "species": ["Er", "Pa", "Pa", "Ga", "Ga", "Ga", "Ga", "Ga", "Ga"], "fractional_positions": [[0.000, 0.000, 0.000], [0.896, 0.604, 0.604], [0.104, 0.396, 0.396], [0.693, 0.008, 0.606], [0.307, 0.992, 0.394], [0.307, 0.394, 0.992], [0.500, 0.715, 0.285], [0.500, 0.285, 0.715], [0.693, 0.606, 0.008]]}